No. 1
The following is a DFT calculation (PBE) of crystalline NdTmP2 at its relaxed geometry.

## Properties
For the energy above the most stable polymorph in this dataset, the calculation gives 3.37 kcal/mol of atoms. The value obtained for the calculated density is 6.5 Mg/m³. The calculation puts the total moment at 0.00 μB per atom. The value obtained for the total energy is -6.43 eV per atom.

Lattice parameters (Å, degrees): 4.008 4.008 7.289 74.04 74.04 60.00
Sites, in units of the cell vectors:
P1 0.078 0.078 0.765
P2 0.255 0.255 0.234
Nd1 0.497 0.497 0.508
Tm1 0.669 0.669 0.993


No. 2
The following is a DFT calculation (PBE) of crystalline Nd5Tm3P8 at its relaxed geometry.

## Properties
The value obtained for the calculated density is 6.3 Mg/m³. The calculation puts the total moment at 0.00 μB per atom. The value obtained for the total energy is -6.58 eV per atom.

Lattice parameters (Å, degrees): 8.176 8.176 8.173 59.99 59.99 60.00
Sites, in units of the cell vectors:
P1 0.754 0.754 0.737
P2 0.246 0.246 0.263
P3 0.250 0.759 0.741
P4 0.759 0.250 0.741
P5 0.750 0.241 0.259
P6 0.750 0.750 0.259
P7 0.241 0.750 0.259
P8 0.250 0.250 0.741
Nd1 0.500 0.500 0.000
Nd2 0.000 0.000 0.000
Nd3 0.500 0.500 0.500
Nd4 0.500 0.000 0.000
Nd5 0.000 0.500 0.000
Tm1 0.000 0.500 0.500
Tm2 0.000 0.000 0.500
Tm3 0.500 0.000 0.500